Record 1
6
Lattice="-3.097 -0.095 3.077 0.975 -4.170 0.852 3.664 1.620 3.738" Properties=species:S:1:pos:R:3 comment="TmZn2Ni2Ge | the Alexandria database | PBE-GGA | optimized geometry" density_kg_m3=7785 n_ef_per_ev_cell=4.544 e_form_ev_per_atom=-0.1650 sg="P4/mmm (123)" m_tot_mub_per_atom=0.0000 pbc="T T T"
Ni -1.549 -0.048 1.538
Zn -0.095 -1.706 2.950
Zn 1.636 -0.940 4.717
Tm 1.832 0.810 1.869
Ni 0.487 -2.085 0.426
Ge 0.000 0.000 0.000

Record 2
10
Lattice="-0.912 -3.893 -0.308 3.783 -0.803 -1.061 2.451 -1.347 9.759" Properties=species:S:1:pos:R:3 comment="Tm2ZnNi3Ge4 | the Alexandria database | PBE-GGA | optimized geometry" density_kg_m3=8847 n_ef_per_ev_cell=3.793 e_form_ev_per_atom=-0.6074 sg="P-4m2 (115)" m_tot_mub_per_atom=0.0000 pbc="T T T"
Ni 2.203 -0.572 0.708
Ge 0.000 0.000 0.000
Ni 1.684 -3.123 8.367
Zn 2.661 -3.021 4.195
Ni 1.225 -0.674 4.880
Tm 3.742 -1.419 6.840
Ge 1.435 -2.348 -0.685
Ge 2.761 -0.879 2.933
Tm 0.144 -2.276 2.235
Ge 1.125 -2.816 6.142

Record 3
10
Lattice="-2.134 -4.594 0.731 2.730 -4.380 -1.601 1.936 -2.699 6.584" Properties=species:S:1:pos:R:3 comment="UNi2Ge2 | the Alexandria database | PBE-GGA | optimized geometry" density_kg_m3=9875 n_ef_per_ev_cell=12.789 e_form_ev_per_atom=-0.2020 sg="Fddd (70)" m_tot_mub_per_atom=0.5118 pbc="T T T"
U 1.867 -3.693 4.631
Ni 2.032 -9.549 4.172
Ge 0.116 -5.896 3.582
Ni 2.291 -6.811 4.221
Ge 1.481 -6.084 6.411
Ni 0.240 -4.861 1.494
Ge 1.050 -5.589 -0.696
U 0.664 -7.980 1.085
Ge 2.415 -5.777 2.133
Ni 0.500 -2.124 1.543